# 1
Entry from Alexandria via LeMat-Bulk: YHoSe after structural relaxation (PBE).

CIF file:
```
data_YHoSe
_chemical_formula_sum 'Y1 Ho1 Se1'
_symmetry_space_group_name_H-M 'P 3 m 1'
_symmetry_Int_Tables_number 156
_cell_length_a 3.8455
_cell_length_b 3.8455
_cell_length_c 6.5117
_cell_angle_alpha 90.00
_cell_angle_beta 90.00
_cell_angle_gamma 120.00
loop_
_symmetry_equiv_pos_as_xyz
'x,y,z'
'-y,x-y,z'
'-x+y,-x,z'
'-y,-x,z'
'-x+y,y,z'
'x,x-y,z'
loop_
_atom_site_label
_atom_site_fract_x
_atom_site_fract_y
_atom_site_fract_z
Y1 0.0000 0.0000 0.0000
Ho1 0.3333 0.6667 0.5599
Se1 0.6667 0.3333 0.2816
```

Energy: -5.96 eV per atom
ΔE_f (raw): -1.1219 eV per atom
Mass density: 6.63 g cm⁻³

# 2
Entry from Alexandria via LeMat-Bulk: Y3HoSe6 after structural relaxation (PBE).

CIF file:
```
data_Y3HoSe6
_chemical_formula_sum 'Y6 Ho2 Se12'
_symmetry_space_group_name_H-M 'P 1 21/m 1'
_symmetry_Int_Tables_number 11
_cell_length_a 11.571
_cell_length_b 4.095
_cell_length_c 11.856
_cell_angle_alpha 90.00
_cell_angle_beta 109.13
_cell_angle_gamma 90.00
loop_
_symmetry_equiv_pos_as_xyz
'x,y,z'
'-x,-y,-z'
'-x,y+1/2,-z'
'x,-y+1/2,z'
loop_
_atom_site_label
_atom_site_fract_x
_atom_site_fract_y
_atom_site_fract_z
Y1 0.069 0.250 0.168
Y2 0.183 0.750 0.502
Y3 0.341 0.250 0.918
Ho1 0.457 0.250 0.309
Se1 0.020 0.250 0.384
Se2 0.103 0.250 0.937
Se3 0.249 0.750 0.278
Se4 0.310 0.750 0.750
Se5 0.391 0.250 0.535
Se6 0.417 0.750 0.100
```

Energy: -6.35 eV per atom
ΔE_f (raw): -1.8644 eV per atom
Mass density: 5.67 g cm⁻³

# 3
Entry from Alexandria via LeMat-Bulk: Y4HoSe5 after structural relaxation (PBE).

CIF file:
```
data_Y4HoSe5
_chemical_formula_sum 'Y8 Ho2 Se10'
_symmetry_space_group_name_H-M 'I 4/m m m'
_symmetry_Int_Tables_number 139
_symmetry_space_group_name_Hall '-I 4 2'
_cell_length_a 4.074
_cell_length_b 4.074
_cell_length_c 28.967
_cell_angle_alpha 90.00
_cell_angle_beta 90.00
_cell_angle_gamma 90.00
loop_
_atom_site_label
_atom_site_fract_x
_atom_site_fract_y
_atom_site_fract_z
Y1 0.000 0.000 0.102
Y2 0.000 0.000 0.304
Ho1 0.000 0.000 0.500
Se1 0.000 0.000 0.000
Se2 0.000 0.000 0.202
Se3 0.000 0.000 0.402
```

Energy: -6.54 eV per atom
ΔE_f (raw): -1.7549 eV per atom
Mass density: 6.32 g cm⁻³

# 4
Entry from Alexandria via LeMat-Bulk: YHo6Se8 after structural relaxation (PBE).

CIF file:
```
data_YHo6Se8
_chemical_formula_sum 'Y4 Ho24 Se32'
_symmetry_space_group_name_H-M 'F m -3 m'
_symmetry_Int_Tables_number 225
_symmetry_space_group_name_Hall '-F 4 2 3'
_cell_length_a 11.434
_cell_length_b 11.434
_cell_length_c 11.434
_cell_angle_alpha 90.00
_cell_angle_beta 90.00
_cell_angle_gamma 90.00
loop_
_atom_site_label
_atom_site_fract_x
_atom_site_fract_y
_atom_site_fract_z
Y1 0.000 0.000 0.000
Ho1 0.000 0.250 0.250
Se1 0.000 0.000 0.255
Se2 0.250 0.250 0.250
```

Energy: -5.94 eV per atom
ΔE_f (raw): -1.8179 eV per atom
Mass density: 7.60 g cm⁻³

# 5
Entry from Alexandria via LeMat-Bulk: YHo4Se6 after structural relaxation (PBE).

CIF file:
```
data_YHo4Se6
_chemical_formula_sum 'Y4 Ho16 Se24'
_symmetry_space_group_name_H-M 'C m c m'
_symmetry_Int_Tables_number 63
_symmetry_space_group_name_Hall '-C 2c 2'
_cell_length_a 3.973
_cell_length_b 13.330
_cell_length_c 20.684
_cell_angle_alpha 90.00
_cell_angle_beta 90.00
_cell_angle_gamma 90.00
loop_
_atom_site_label
_atom_site_fract_x
_atom_site_fract_y
_atom_site_fract_z
Y1 0.000 0.152 0.250
Ho1 0.000 0.090 0.627
Ho2 0.000 0.360 0.538
Se1 0.000 0.000 0.000
Se2 0.000 0.190 0.750
Se3 0.000 0.269 0.090
Se4 0.000 0.448 0.666
```

Energy: -5.96 eV per atom
ΔE_f (raw): -1.8072 eV per atom
Mass density: 7.41 g cm⁻³

# 6
Entry from Alexandria via LeMat-Bulk: YHo3Se6 after structural relaxation (PBE).

CIF file:
```
data_YHo3Se6
_chemical_formula_sum 'Y6 Ho18 Se36'
_symmetry_space_group_name_H-M 'R -3'
_symmetry_Int_Tables_number 148
_symmetry_space_group_name_Hall '-R 3'
_cell_length_a 11.9306
_cell_length_b 11.9306
_cell_length_c 14.2806
_cell_angle_alpha 90.00
_cell_angle_beta 90.00
_cell_angle_gamma 120.00
loop_
_atom_site_label
_atom_site_fract_x
_atom_site_fract_y
_atom_site_fract_z
Y1 0.0000 0.0000 0.0000
Y2 0.0000 0.0000 0.5000
Ho1 0.0528 0.2717 0.2018
Se1 0.0182 0.2128 0.3961
Se2 0.0323 0.1951 0.8740
```

Energy: -5.95 eV per atom
ΔE_f (raw): -1.8373 eV per atom
Mass density: 5.98 g cm⁻³

# 7
Entry from Alexandria via LeMat-Bulk: Y3Ho2Se6 after structural relaxation (PBE).

CIF file:
```
data_Y3Ho2Se6
_chemical_formula_sum 'Y6 Ho4 Se12'
_symmetry_space_group_name_H-M 'C 1 2/m 1'
_symmetry_Int_Tables_number 12
_cell_length_a 7.040
_cell_length_b 12.139
_cell_length_c 7.010
_cell_angle_alpha 90.00
_cell_angle_beta 109.51
_cell_angle_gamma 90.00
loop_
_symmetry_equiv_pos_as_xyz
'x,y,z'
'-x,-y,-z'
'-x,y,-z'
'x,-y,z'
'x+1/2,y+1/2,z'
'-x+1/2,-y+1/2,-z'
'-x+1/2,y+1/2,-z'
'x+1/2,-y+1/2,z'
loop_
_atom_site_label
_atom_site_fract_x
_atom_site_fract_y
_atom_site_fract_z
Y1 0.000 0.000 0.000
Y2 0.000 0.335 0.000
Ho1 0.000 0.165 0.500
Se1 0.246 0.335 0.745
Se2 0.247 0.500 0.258
```

Energy: -6.36 eV per atom
ΔE_f (raw): -1.8648 eV per atom
Mass density: 6.30 g cm⁻³

# 8
Entry from Alexandria via LeMat-Bulk: YHo4Se5 after structural relaxation (PBE).

CIF file:
```
data_YHo4Se5
_chemical_formula_sum 'Y2 Ho8 Se10'
_symmetry_space_group_name_H-M 'I 4'
_symmetry_Int_Tables_number 79
_cell_length_a 9.070
_cell_length_b 9.070
_cell_length_c 5.757
_cell_angle_alpha 90.00
_cell_angle_beta 90.00
_cell_angle_gamma 90.00
loop_
_symmetry_equiv_pos_as_xyz
'x,y,z'
'-y,x,z'
'-x,-y,z'
'y,-x,z'
'x+1/2,y+1/2,z+1/2'
'-y+1/2,x+1/2,z+1/2'
'-x+1/2,-y+1/2,z+1/2'
'y+1/2,-x+1/2,z+1/2'
loop_
_atom_site_label
_atom_site_fract_x
_atom_site_fract_y
_atom_site_fract_z
Y1 0.000 0.000 0.000
Ho1 0.101 0.299 0.501
Se1 0.000 0.000 0.500
Se2 0.100 0.302 0.001
```

Energy: -5.95 eV per atom
ΔE_f (raw): -1.7286 eV per atom
Mass density: 8.02 g cm⁻³

# 9
Entry from Alexandria via LeMat-Bulk: Y3Ho4Se8 after structural relaxation (PBE).

CIF file:
```
data_Y3Ho4Se8
_chemical_formula_sum 'Y6 Ho8 Se16'
_symmetry_space_group_name_H-M 'C 1 2/m 1'
_symmetry_Int_Tables_number 12
_cell_length_a 11.471
_cell_length_b 11.472
_cell_length_c 8.109
_cell_angle_alpha 90.00
_cell_angle_beta 134.97
_cell_angle_gamma 90.00
loop_
_symmetry_equiv_pos_as_xyz
'x,y,z'
'-x,-y,-z'
'-x,y,-z'
'x,-y,z'
'x+1/2,y+1/2,z'
'-x+1/2,-y+1/2,-z'
'-x+1/2,y+1/2,-z'
'x+1/2,-y+1/2,z'
loop_
_atom_site_label
_atom_site_fract_x
_atom_site_fract_y
_atom_site_fract_z
Y1 0.000 0.000 0.000
Y2 0.250 0.250 0.000
Ho1 0.000 0.500 0.000
Ho2 0.000 0.500 0.500
Ho3 0.250 0.250 0.500
Se1 0.000 0.247 0.500
Se2 0.000 0.251 0.000
Se3 0.248 0.000 0.502
Se4 0.248 0.000 0.995
```

Energy: -6.20 eV per atom
ΔE_f (raw): -1.8279 eV per atom
Mass density: 6.85 g cm⁻³

# 10
Entry from Alexandria via LeMat-Bulk: YHo5Se6 after structural relaxation (PBE).

CIF file:
```
data_YHo5Se6
_chemical_formula_sum 'Y2 Ho10 Se12'
_symmetry_space_group_name_H-M 'C 1 2/m 1'
_symmetry_Int_Tables_number 12
_cell_length_a 7.032
_cell_length_b 12.215
_cell_length_c 7.015
_cell_angle_alpha 90.00
_cell_angle_beta 109.63
_cell_angle_gamma 90.00
loop_
_symmetry_equiv_pos_as_xyz
'x,y,z'
'-x,-y,-z'
'-x,y,-z'
'x,-y,z'
'x+1/2,y+1/2,z'
'-x+1/2,-y+1/2,-z'
'-x+1/2,y+1/2,-z'
'x+1/2,-y+1/2,z'
loop_
_atom_site_label
_atom_site_fract_x
_atom_site_fract_y
_atom_site_fract_z
Y1 0.000 0.000 0.000
Ho1 0.000 0.165 0.500
Ho2 0.000 0.334 0.000
Ho3 0.000 0.500 0.500
Se1 0.248 0.500 0.250
Se2 0.249 0.332 0.749
```

Energy: -5.92 eV per atom
ΔE_f (raw): -1.7296 eV per atom
Mass density: 8.12 g cm⁻³

# 11
Entry from Alexandria via LeMat-Bulk: YHoSe after structural relaxation (PBE).

CIF file:
```
data_YHoSe
_chemical_formula_sum 'Y2 Ho2 Se2'
_symmetry_space_group_name_H-M 'I 4 m m'
_symmetry_Int_Tables_number 107
_symmetry_space_group_name_Hall 'I 4 -2'
_cell_length_a 3.587
_cell_length_b 3.587
_cell_length_c 12.251
_cell_angle_alpha 90.00
_cell_angle_beta 90.00
_cell_angle_gamma 90.00
loop_
_atom_site_label
_atom_site_fract_x
_atom_site_fract_y
_atom_site_fract_z
Y1 0.000 0.000 0.000
Ho1 0.000 0.000 0.291
Se1 0.000 0.000 0.647
```

Energy: -5.80 eV per atom
ΔE_f (raw): -0.9619 eV per atom
Mass density: 7.01 g cm⁻³